! PBE ScInIO2, optimized geometry; values from VASP
! Electronic total energy   -23.2 eV per formula unit
! Formation energy from raw total energies   -2.7 eV per formula unit
! Density of states at the Fermi level   2.482 states/eV per cell
! Energy above the lowest structure with this stoichiometry   726 meV per atom
&SYSTEM
  ibrav = 0, nat = 5, ntyp = 4
/
ATOMIC_SPECIES
O 16.00 O.upf
In 114.82 In.upf
Sc 44.96 Sc.upf
I 126.90 I.upf
ATOMIC_POSITIONS angstrom
O 0.000 2.135 0.000
In 0.000 0.000 0.000
Sc 2.135 2.135 2.822
O 2.135 0.000 0.000
I 0.000 0.000 2.822
CELL_PARAMETERS angstrom
4.270 0.000 0.000
0.000 4.270 0.000
0.000 0.000 5.643

***

! PBE Ca4InAg2Au, optimized geometry; values from VASP
! Electronic total energy   -23.5 eV per formula unit
! Density of states at the Fermi level   5.524 states/eV per cell
! Calculated formation energy   -3.8 eV per formula unit
&SYSTEM
  ibrav = 0, nat = 8, ntyp = 4
/
ATOMIC_SPECIES
Ag 107.87 Ag.upf
Ca 40.08 Ca.upf
In 114.82 In.upf
Au 196.97 Au.upf
ATOMIC_POSITIONS angstrom
Ag 2.638 1.523 2.006
Ca 7.914 4.569 3.309
Ca 5.276 3.046 7.389
Ca 2.638 1.523 5.270
In 0.000 0.000 0.000
Au 5.276 3.046 4.289
Ca 5.276 3.046 1.189
Ag 7.914 4.569 6.572
CELL_PARAMETERS angstrom
5.276 0.000 0.000
2.638 4.569 0.000
2.638 1.523 8.578

***

! PBE K8Rb6Li, optimized geometry; values from VASP
! Electronic total energy   -15.9 eV per formula unit
! Density of states at the Fermi level   12.838 states/eV per cell
! Calculated formation energy   0.6 eV per formula unit
&SYSTEM
  ibrav = 0, nat = 15, ntyp = 3
/
ATOMIC_SPECIES
K 39.10 K.upf
Li 6.94 Li.upf
Rb 85.47 Rb.upf
ATOMIC_POSITIONS angstrom
K 9.299 9.715 6.810
K 10.279 1.110 10.970
Li 0.000 0.000 0.000
Rb 10.001 5.654 8.993
K 9.809 7.684 13.585
Rb 6.873 1.772 7.594
K 10.133 3.425 4.697
K 2.649 9.019 6.936
Rb 6.149 6.249 5.584
Rb 6.056 8.357 10.312
K 2.795 6.704 13.209
K 3.629 0.414 11.096
K 3.120 2.444 4.321
Rb 2.928 4.475 8.913
Rb 6.779 3.880 12.322
CELL_PARAMETERS angstrom
10.425 0.004 3.461
2.499 10.121 3.461
0.005 0.004 10.984

***

! PBE LaWBr4, optimized geometry; values from VASP
! Electronic total energy   -20.7 eV per formula unit
! Formation energy from raw total energies   3.9 eV per formula unit
! Density of states at the Fermi level   6.842 states/eV per cell
&SYSTEM
  ibrav = 0, nat = 6, ntyp = 3
/
ATOMIC_SPECIES
W 183.84 W.upf
Br 79.90 Br.upf
La 138.91 La.upf
ATOMIC_POSITIONS angstrom
W 0.000 0.000 0.000
Br 2.463 -6.818 4.463
Br 4.769 -4.810 5.158
La 5.599 -8.363 5.601
Br 4.899 -6.493 2.515
Br 2.799 -4.181 2.800
CELL_PARAMETERS angstrom
3.939 -1.257 4.713
-0.671 -5.273 3.325
4.198 -4.622 -0.570

***

! PBE MnGe2H2, optimized geometry; values from VASP
! Electronic total energy   -22.8 eV per formula unit
! Density of states at the Fermi level   2.169 states/eV per cell
&SYSTEM
  ibrav = 0, nat = 5, ntyp = 3
/
ATOMIC_SPECIES
Ge 72.64 Ge.upf
H 1.01 H.upf
Mn 54.94 Mn.upf
ATOMIC_POSITIONS angstrom
Ge 2.879 2.879 4.603
H 1.439 2.879 3.069
Ge 1.439 1.439 1.536
H 2.879 1.439 3.069
Mn 0.000 0.000 0.000
CELL_PARAMETERS angstrom
2.879 0.000 0.000
0.000 2.879 0.000
1.439 1.439 6.139

***

! PBE CaMgSc2H, optimized geometry; values from VASP
! Electronic total energy   -19.9 eV per formula unit
! Density of states at the Fermi level   5.563 states/eV per cell
&SYSTEM
  ibrav = 0, nat = 5, ntyp = 4
/
ATOMIC_SPECIES
Ca 40.08 Ca.upf
Sc 44.96 Sc.upf
H 1.01 H.upf
Mg 24.30 Mg.upf
ATOMIC_POSITIONS angstrom
Ca -1.998 -1.365 -0.663
Sc -0.250 1.289 -1.900
H 0.000 0.000 0.000
Mg -0.873 -1.523 -3.725
Sc 1.374 -1.446 -1.162
CELL_PARAMETERS angstrom
-0.500 2.578 -3.799
2.749 -2.893 -2.325
-3.995 -2.730 -1.326

***

! PBE NpGaS3, optimized geometry; values from VASP
! Electronic total energy   -32.6 eV per formula unit
! Formation energy from raw total energies   -4.2 eV per formula unit
! Density of states at the Fermi level   19.330 states/eV per cell
&SYSTEM
  ibrav = 0, nat = 10, ntyp = 3
/
ATOMIC_SPECIES
S 32.06 S.upf
Ga 69.72 Ga.upf
Np 237.00 Np.upf
ATOMIC_POSITIONS angstrom
S 0.861 -5.601 -1.626
S -1.658 -7.004 0.620
S -1.660 -10.495 -1.556
S 0.859 -9.093 -3.802
S -2.700 -7.248 -2.874
Ga -0.291 -4.936 0.663
Ga -0.508 -11.161 -3.844
Np -0.258 -6.619 -3.882
S 1.901 -8.849 -0.308
Np -0.541 -9.478 0.700
CELL_PARAMETERS angstrom
-3.502 -4.696 -3.144
3.133 -5.059 -2.958
-0.430 -6.342 2.920

***

! PBE GdHg4Pb, optimized geometry; values from VASP
! Electronic total energy   -19.6 eV per formula unit
! Density of states at the Fermi level   5.091 states/eV per cell
! Calculated formation energy   -0.6 eV per formula unit
&SYSTEM
  ibrav = 0, nat = 6, ntyp = 3
/
ATOMIC_SPECIES
Hg 200.59 Hg.upf
Gd 157.25 Gd.upf
Pb 207.20 Pb.upf
ATOMIC_POSITIONS angstrom
Hg -1.800 -8.611 -2.966
Gd -0.720 -3.444 -1.187
Hg -2.992 -5.872 -2.445
Hg -0.823 -6.953 -0.623
Pb 0.000 0.000 0.000
Hg -0.145 -6.118 -3.458
CELL_PARAMETERS angstrom
-3.310 -4.985 0.983
-1.954 -3.315 -4.686
2.384 -5.477 -1.043

***

Question: Which value of electronic total energy does entry 2 give?
Answer: -23.5 eV per formula unit

***

Repeat the seventh record exactly.
! PBE NpGaS3, optimized geometry; values from VASP
! Electronic total energy   -32.6 eV per formula unit
! Formation energy from raw total energies   -4.2 eV per formula unit
! Density of states at the Fermi level   19.330 states/eV per cell
&SYSTEM
  ibrav = 0, nat = 10, ntyp = 3
/
ATOMIC_SPECIES
S 32.06 S.upf
Ga 69.72 Ga.upf
Np 237.00 Np.upf
ATOMIC_POSITIONS angstrom
S 0.861 -5.601 -1.626
S -1.658 -7.004 0.620
S -1.660 -10.495 -1.556
S 0.859 -9.093 -3.802
S -2.700 -7.248 -2.874
Ga -0.291 -4.936 0.663
Ga -0.508 -11.161 -3.844
Np -0.258 -6.619 -3.882
S 1.901 -8.849 -0.308
Np -0.541 -9.478 0.700
CELL_PARAMETERS angstrom
-3.502 -4.696 -3.144
3.133 -5.059 -2.958
-0.430 -6.342 2.920

***

Question: Which of these has the lowest density of states at the Fermi level?
Answer: MnGe2H2

***

Question: The lowest electronic total energy belongs to which entry?
Answer: NpGaS3